[1]
# Ba3LaV3O12 (GGA+U, optimized geometry)
# D(E_F) ... 0.000 states/eV per atom
# Total magnetic moment ... 0.212 μB per cell
# E ... -7.459 eV per atom
data_Ba3LaV3O12
_chemical_formula_sum 'Ba12 La4 V12 O48'
_symmetry_space_group_name_H-M 'C 1 m 1'
_symmetry_Int_Tables_number 8
_cell_length_a 22.4971
_cell_length_b 5.7553
_cell_length_c 9.6370
_cell_angle_alpha 90.00
_cell_angle_beta 94.68
_cell_angle_gamma 90.00
loop_
_symmetry_equiv_pos_as_xyz
'x,y,z'
'x,-y,z'
'x+1/2,y+1/2,z'
'x+1/2,-y+1/2,z'
loop_
_atom_site_label
_atom_site_type_symbol
_atom_site_fract_x
_atom_site_fract_y
_atom_site_fract_z
Ba1 Ba 0.0000 0.0000 0.0000
Ba2 Ba 0.0173 0.5000 0.3415
Ba3 Ba 0.1517 0.5000 0.6972
Ba4 Ba 0.3252 0.0000 0.3344
Ba5 Ba 0.3551 0.5000 0.6797
Ba6 Ba 0.4594 0.0000 0.6912
La1 La 0.1451 0.0000 0.3214
La2 La 0.2761 0.5000 0.0180
V1 V 0.0513 0.0000 0.6592
V2 V 0.1018 0.5000 0.0494
V3 V 0.2202 0.5000 0.3474
V4 V 0.2592 0.0000 0.6980
V5 V 0.3828 0.0000 0.0027
V6 V 0.4174 0.5000 0.3434
O1 O 0.0472 0.5000 0.9129
O2 O 0.0601 0.2513 0.5619
O3 O 0.0896 0.2580 0.1551
O4 O 0.1014 0.0000 0.8017
O5 O 0.1507 0.5000 0.4105
O6 O 0.1720 0.5000 0.9851
O7 O 0.2031 0.0000 0.5570
O8 O 0.2241 0.2488 0.2444
O9 O 0.2565 0.2558 0.7972
O10 O 0.2752 0.5000 0.4779
O11 O 0.3097 0.0000 0.0508
O12 O 0.3285 0.0000 0.6313
O13 O 0.3540 0.5000 0.2177
O14 O 0.3982 0.2438 0.9034
O15 O 0.4154 0.2592 0.4523
O16 O 0.4287 0.0000 0.1545
O17 O 0.4796 0.5000 0.7210
O18 O 0.4858 0.5000 0.2739

***

[2]
# BaLa2WO8 (GGA+U, optimized geometry)
# D(E_F) ... 0.000 states/eV per atom
# Total magnetic moment ... 0.000 μB per cell
# E ... -7.438 eV per atom
data_BaLa2WO8
_chemical_formula_sum 'Ba1 La2 W1 O8'
_symmetry_space_group_name_H-M 'P -1'
_symmetry_Int_Tables_number 2
_cell_length_a 4.7539
_cell_length_b 5.2069
_cell_length_c 7.9892
_cell_angle_alpha 91.95
_cell_angle_beta 94.19
_cell_angle_gamma 93.31
loop_
_symmetry_equiv_pos_as_xyz
'x,y,z'
'-x,-y,-z'
loop_
_atom_site_label
_atom_site_type_symbol
_atom_site_fract_x
_atom_site_fract_y
_atom_site_fract_z
Ba1 Ba 0.0000 0.0000 0.0000
La1 La 0.4044 0.4767 0.7032
W1 W 0.0000 0.0000 0.5000
O1 O 0.1114 0.7273 0.3409
O2 O 0.2064 0.8793 0.7032
O3 O 0.3146 0.2330 0.4544
O4 O 0.4655 0.3562 0.9986

***

[3]
# BaLaWO6 (GGA+U, optimized geometry)
# D(E_F) ... 0.872 states/eV per atom
# Total magnetic moment ... 1.075 μB per cell
# E ... -7.340 eV per atom
data_BaLaWO6
_chemical_formula_sum 'Ba1 La1 W1 O6'
_symmetry_space_group_name_H-M 'P 3 1 2'
_symmetry_Int_Tables_number 149
_cell_length_a 5.9080
_cell_length_b 5.9080
_cell_length_c 5.5042
_cell_angle_alpha 90.00
_cell_angle_beta 90.00
_cell_angle_gamma 120.00
loop_
_symmetry_equiv_pos_as_xyz
'x,y,z'
'-y,x-y,z'
'-x+y,-x,z'
'-y,-x,-z'
'-x+y,y,-z'
'x,x-y,-z'
loop_
_atom_site_label
_atom_site_type_symbol
_atom_site_fract_x
_atom_site_fract_y
_atom_site_fract_z
Ba1 Ba 0.0000 0.0000 0.0000
La1 La 0.3333 0.6667 0.5000
W1 W 0.6667 0.3333 0.5000
O1 O 0.3989 0.0538 0.7005

***

[4]
# BaLa2WO7 (GGA+U, optimized geometry)
# D(E_F) ... 0.000 states/eV per atom
# Total magnetic moment ... 0.000 μB per cell
# E ... -7.849 eV per atom
data_BaLa2WO7
_chemical_formula_sum 'Ba4 La8 W4 O28'
_symmetry_space_group_name_H-M 'P 1 21/c 1'
_symmetry_Int_Tables_number 14
_cell_length_a 9.0591
_cell_length_b 5.8996
_cell_length_c 12.9722
_cell_angle_alpha 90.00
_cell_angle_beta 105.14
_cell_angle_gamma 90.00
loop_
_symmetry_equiv_pos_as_xyz
'x,y,z'
'-x,-y,-z'
'-x,y+1/2,-z+1/2'
'x,-y+1/2,z+1/2'
loop_
_atom_site_label
_atom_site_type_symbol
_atom_site_fract_x
_atom_site_fract_y
_atom_site_fract_z
Ba1 Ba 0.0157 0.0235 0.3648
La1 La 0.3045 0.5154 0.4174
La2 La 0.4329 0.0187 0.6294
W1 W 0.2208 0.0310 0.1646
O1 O 0.0050 0.0283 0.1568
O2 O 0.1968 0.2388 0.0411
O3 O 0.2111 0.7313 0.5722
O4 O 0.2411 0.1831 0.7497
O5 O 0.2654 0.6428 0.7972
O6 O 0.4447 0.0557 0.1831
O7 O 0.4941 0.2408 0.4891

***

[5]
# BaLaW2O8 (GGA+U, optimized geometry)
# D(E_F) ... 0.558 states/eV per atom
# Total magnetic moment ... 1.001 μB per cell
# E ... -7.450 eV per atom
data_BaLaW2O8
_chemical_formula_sum 'Ba1 La1 W2 O8'
_symmetry_space_group_name_H-M 'P -3 m 1'
_symmetry_Int_Tables_number 164
_symmetry_space_group_name_Hall '-P 3 2"'
_cell_length_a 6.1135
_cell_length_b 6.1135
_cell_length_c 7.7784
_cell_angle_alpha 90.00
_cell_angle_beta 90.00
_cell_angle_gamma 120.00
loop_
_atom_site_label
_atom_site_type_symbol
_atom_site_fract_x
_atom_site_fract_y
_atom_site_fract_z
Ba1 Ba 0.0000 0.0000 0.0000
La1 La 0.0000 0.0000 0.5000
W1 W 0.3333 0.6667 0.7860
O1 O 0.1667 0.3333 0.7109
O2 O 0.3333 0.6667 0.0184

***

[6]
# Ba2La2ZnW2O12 (GGA+U, optimized geometry)
# D(E_F) ... 0.000 states/eV per atom
# Total magnetic moment ... 0.000 μB per cell
# E ... -7.229 eV per atom
data_Ba2La2ZnW2O12
_chemical_formula_sum 'Ba6 La6 Zn3 W6 O36'
_symmetry_space_group_name_H-M 'R -3 m'
_symmetry_Int_Tables_number 166
_symmetry_space_group_name_Hall '-R 3 2"'
_cell_length_a 5.6876
_cell_length_b 5.6876
_cell_length_c 27.3858
_cell_angle_alpha 90.00
_cell_angle_beta 90.00
_cell_angle_gamma 120.00
loop_
_atom_site_label
_atom_site_type_symbol
_atom_site_fract_x
_atom_site_fract_y
_atom_site_fract_z
Ba1 Ba 0.0000 0.0000 0.2097
La1 La 0.0000 0.0000 0.3652
Zn1 Zn 0.0000 0.0000 0.5000
W1 W 0.0000 0.0000 0.0771
O1 O 0.0010 0.5005 0.3729
O2 O 0.0062 0.5031 0.7852